[1]
# SbO | Alexandria | PBE | relaxed
data_SbO
_chemical_formula_sum 'Sb1 O1'
_cell_length_a 3.1967
_cell_length_b 3.2782
_cell_length_c 3.9881
_cell_angle_alpha 90.00
_cell_angle_beta 113.43
_cell_angle_gamma 90.00
_space_group_name_H-M_alt 'P 1 m 1'
_space_group_IT_number 6
loop_
_space_group_symop_operation_xyz
'x,y,z'
'x,-y,z'
loop_
_atom_site_label
_atom_site_type_symbol
_atom_site_fract_x
_atom_site_fract_y
_atom_site_fract_z
_atom_site_occupancy
Sb1 Sb 0.0000 0.0000 0.0000 1
O1 O 0.8289 0.5000 0.6555 1
# Raw formation energy = -1.46 eV/f.u.
# Total magnetic moment = 0.0 μB/f.u.
# DOS(E_F) = 0.2 states/eV/cell


[2]
# YFeOs | Alexandria | PBE | relaxed
data_YFeOs
_chemical_formula_sum 'Y4 Fe4 Os4'
_cell_length_a 6.3604
_cell_length_b 6.3604
_cell_length_c 6.3604
_cell_angle_alpha 90.00
_cell_angle_beta 90.00
_cell_angle_gamma 90.00
_space_group_name_H-M_alt 'F -4 3 m'
_space_group_IT_number 216
_space_group_name_Hall 'F -4 2 3'
loop_
_atom_site_label
_atom_site_type_symbol
_atom_site_fract_x
_atom_site_fract_y
_atom_site_fract_z
_atom_site_occupancy
Y1 Y 0.0000 0.0000 0.0000 1
Fe1 Fe 0.2500 0.2500 0.2500 1
Os1 Os 0.2500 0.2500 0.7500 1
# Energy of formation from the pure elements = 1.328 eV/atom
# Total magnetic moment = 3.5 μB/f.u.
# DOS(E_F) = 11.6 states/eV/cell
# Distance to the lowest polymorph of the same formula = 1554 meV per atom


[3]
# Ni2MoCl | Alexandria | PBE | relaxed
data_Ni2MoCl
_chemical_formula_sum 'Ni8 Mo4 Cl4'
_cell_length_a 6.0804
_cell_length_b 6.0804
_cell_length_c 6.0804
_cell_angle_alpha 90.00
_cell_angle_beta 90.00
_cell_angle_gamma 90.00
_space_group_name_H-M_alt 'F m -3 m'
_space_group_IT_number 225
_space_group_name_Hall '-F 4 2 3'
loop_
_atom_site_label
_atom_site_type_symbol
_atom_site_fract_x
_atom_site_fract_y
_atom_site_fract_z
_atom_site_occupancy
Ni1 Ni 0.2500 0.2500 0.2500 1
Mo1 Mo 0.0000 0.0000 0.0000 1
Cl1 Cl 0.0000 0.0000 0.5000 1
# Raw formation energy = 3.60 eV/f.u.
# Total magnetic moment = 0.0 μB/f.u.
# DOS(E_F) = 15.8 states/eV/cell
# Distance to the lowest polymorph of the same formula = 754 meV per atom


[4]
# CsSrTe2O8 | Alexandria | PBE | relaxed
data_CsSrTe2O8
_chemical_formula_sum 'Cs1 Sr1 Te2 O8'
_cell_length_a 6.2908
_cell_length_b 6.2908
_cell_length_c 8.7572
_cell_angle_alpha 90.00
_cell_angle_beta 90.00
_cell_angle_gamma 120.00
_space_group_name_H-M_alt 'P -3'
_space_group_IT_number 147
loop_
_space_group_symop_operation_xyz
'x,y,z'
'-x,-y,-z'
'-y,x-y,z'
'y,-x+y,-z'
'-x+y,-x,z'
'x-y,x,-z'
loop_
_atom_site_label
_atom_site_type_symbol
_atom_site_fract_x
_atom_site_fract_y
_atom_site_fract_z
_atom_site_occupancy
Cs1 Cs 0.0000 0.0000 0.0000 1
Sr1 Sr 0.0000 0.0000 0.5000 1
Te1 Te 0.3333 0.6667 0.7506 1
O1 O 0.1612 0.3462 0.6846 1
O2 O 0.3333 0.6667 0.9622 1
# Raw formation energy = -15.06 eV/f.u.
# Total magnetic moment = 1.1 μB/f.u.
# DOS(E_F) = 15.7 states/eV/cell